Model 1:
Li3PPt | PBE | relaxed

The space group is Pm-3m (No. 221) and the conventional cell measures 4.438, 4.438 and 4.438 Å, with angles of 90.00, 90.00 and 90.00 degrees. The inequivalent atoms are Li at (0.000, 0.000, 0.500), P at (0.000, 0.000, 0.000) and Pt at (0.500, 0.500, 0.500).

---

Model 2:
Li3PPt | PBE | relaxed

The space group is Pm-3m (No. 221) and the conventional cell measures 4.613, 4.613 and 4.613 Å, with angles of 90.00, 90.00 and 90.00 degrees. The inequivalent atoms are Li at (0.000, 0.000, 0.500), P at (0.500, 0.500, 0.500) and Pt at (0.000, 0.000, 0.000).

---

Relative energies, in kJ/mol of atoms, with the most stable structure set to zero: model 1 0.0; model 2 11.0.

---

Model 1:
LiPuP2 | PBE | relaxed

The space group is R-3m (No. 166, hexagonal axes) and the conventional cell measures 4.2797, 4.2797 and 13.2956 Å, with angles of 90.00, 90.00 and 120.00 degrees. The inequivalent atoms are Li at (0.0000, 0.0000, 0.0000), Pu at (0.0000, 0.0000, 0.5000) and P at (0.0000, 0.0000, 0.2581).

---

Model 2:
LiPuP2 | PBE | relaxed

The space group is Amm2 (No. 38) and the conventional cell measures 3.683, 5.568 and 7.411 Å, with angles of 90.00, 90.00 and 90.00 degrees. The inequivalent atoms are Li at (0.000, 0.000, 0.000), Pu at (0.500, 0.000, 0.437) and P at (0.000, 0.198, 0.717).

---

Model 3:
LiPuP2 | PBE | relaxed

The space group is R3m (No. 160, hexagonal axes) and the conventional cell measures 4.0306, 4.0306 and 16.6428 Å, with angles of 90.00, 90.00 and 120.00 degrees. The inequivalent atoms are Li at (0.0000, 0.0000, 0.0000), Pu at (0.0000, 0.0000, 0.1824), P at (0.0000, 0.0000, 0.6107) and P at (0.0000, 0.0000, 0.7481).

---

Model 4:
LiPuP2 | PBE | relaxed

The space group is P4/mmm (No. 123) and the conventional cell measures 4.295, 4.295 and 3.712 Å, with angles of 90.00, 90.00 and 90.00 degrees. The inequivalent atoms are Li at (0.000, 0.000, 0.000), Pu at (0.500, 0.500, 0.000) and P at (0.000, 0.500, 0.500).

---

Relative energies, in kJ/mol of atoms, with the most stable structure set to zero: model 1 3.0; model 2 2.2; model 3 0.0; model 4 1.2.

---

Model 1:
RbLi3P | PBE | relaxed

The space group is Pm-3m (No. 221) and the conventional cell measures 4.947, 4.947 and 4.947 Å, with angles of 90.00, 90.00 and 90.00 degrees. The inequivalent atoms are Rb at (0.000, 0.000, 0.000), Li at (0.000, 0.500, 0.500) and P at (0.500, 0.500, 0.500).

---

Model 2:
RbLi3P | PBE | relaxed

The space group is Pm-3m (No. 221) and the conventional cell measures 5.076, 5.076 and 5.076 Å, with angles of 90.00, 90.00 and 90.00 degrees. The inequivalent atoms are Rb at (0.000, 0.000, 0.000), Li at (0.000, 0.000, 0.500) and P at (0.500, 0.500, 0.500).

---

Relative energies, in kJ/mol of atoms, with the most stable structure set to zero: model 1 0.0; model 2 123.2.